This record from the Alexandria database describes an optimized crystal structure of SiHgAsSe2. The functional is GGA-PBEsol.

abc: 4.736 4.736 4.934
angles: 90.00 90.00 90.00
Space group P4/mmm (No. 123)
Asymmetric unit:
Si (0.000, 0.000, 0.000) x1
Hg (0.500, 0.500, 0.500) x1
As (0.000, 0.000, 0.500) x1
Se (0.000, 0.500, 0.000) x2

For the uncorrected formation energy, the calculation gives 377 meV per atom. Its electronic total energy is -17.2 eV for the cell shown. The size of the total moment is 0.00 μB per formula unit.